No. 1
DFT (GGA-PBE) results for a geometry-optimized K3TlPb structure.

Computed properties:
- Uncorrected energy: -1.55 eV/atom
- Symmetry: Pm-3m
- Excess energy over the best structure of this formula in the dataset: 0.443 eV/atom

Unit cell a=6.539 b=6.539 c=6.539 alpha=90.00 beta=90.00 gamma=90.00
Element x y z (fractional)
Pb 0.500 0.500 0.500
Tl 0.000 0.000 0.000
K 0.500 0.000 0.000
K 0.000 0.000 0.500
K 0.000 0.500 0.000


No. 2
DFT (GGA-PBE) results for a geometry-optimized KTlPb structure.

Computed properties:
- Uncorrected energy: -2.52 eV/atom
- Symmetry: P-1
- Excess energy over the best structure of this formula in the dataset: 0.036 eV/atom

Unit cell a=6.846 b=6.876 c=5.521 alpha=113.64 beta=66.19 gamma=98.13
Element x y z (fractional)
K 0.476 0.805 0.889
Tl 0.045 0.037 0.722
Pb 0.883 0.842 0.204
K 0.088 0.431 0.396
Pb 0.680 0.394 0.081
Tl 0.519 0.199 0.564


No. 3
DFT (GGA-PBE) results for a geometry-optimized KTlPb2 structure.

Computed properties:
- Uncorrected energy: -2.76 eV/atom
- Symmetry: I4/mmm
- Excess energy over the best structure of this formula in the dataset: 0.059 eV/atom

Unit cell a=6.389 b=6.389 c=6.389 alpha=134.42 beta=134.42 gamma=66.43
Element x y z (fractional)
Tl 0.250 0.750 0.500
K 0.750 0.250 0.500
Pb 0.000 0.000 0.000
Pb 0.500 0.500 0.000


No. 4
DFT (GGA-PBE) results for a geometry-optimized KTlPb4 structure.

Computed properties:
- Uncorrected energy: -3.10 eV/atom
- Symmetry: C2/c
- Excess energy over the best structure of this formula in the dataset: 0.022 eV/atom

Unit cell a=5.540 b=6.980 c=10.764 alpha=71.08 beta=89.82 gamma=89.45
Element x y z (fractional)
Pb 0.750 0.454 0.586
Pb 0.750 0.960 0.586
K 0.750 0.379 0.242
Pb 0.244 0.724 0.086
Pb 0.744 0.810 0.914
K 0.250 0.621 0.758
Pb 0.250 0.546 0.414
Pb 0.756 0.276 0.914
Pb 0.250 0.040 0.414
Tl 0.750 0.869 0.262
Tl 0.250 0.131 0.738
Pb 0.256 0.190 0.086


No. 5
DFT (GGA-PBE) results for a geometry-optimized KTlPb structure.

Computed properties:
- Uncorrected energy: -2.45 eV/atom
- Symmetry: Amm2
- Excess energy over the best structure of this formula in the dataset: 0.110 eV/atom

Unit cell a=5.532 b=6.505 c=6.505 alpha=66.18 beta=90.00 gamma=90.00
Element x y z (fractional)
Pb 0.500 0.583 0.709
Tl 0.000 0.272 0.728
K 0.000 0.933 0.397
K 0.000 0.603 0.067
Tl 0.500 0.007 0.993
Pb 0.500 0.291 0.417


No. 6
DFT (GGA-PBE) results for a geometry-optimized K2Tl6Pb3 structure.

Computed properties:
- Uncorrected energy: -2.49 eV/atom
- Symmetry: Cmmm

Unit cell a=4.713 b=9.461 c=9.461 alpha=96.79 beta=90.00 gamma=90.00
Element x y z (fractional)
Pb 0.000 0.200 0.200
K 0.000 0.308 0.692
Tl 0.500 0.660 0.984
Tl 0.500 0.984 0.660
K 0.000 0.692 0.308
Pb 0.000 0.800 0.800
Tl 0.500 0.016 0.340
Tl 0.500 0.624 0.624
Tl 0.500 0.340 0.016
Pb 0.500 0.000 0.000
Tl 0.500 0.376 0.376


No. 7
DFT (GGA-PBE) results for a geometry-optimized K4TlPb4 structure.

Computed properties:
- Uncorrected energy: -2.47 eV/atom
- Symmetry: I-42m

Unit cell a=6.974 b=8.994 c=6.974 alpha=67.19 beta=90.00 gamma=112.81
Element x y z (fractional)
Pb 0.746 0.128 0.618
Pb 0.382 0.128 0.254
K 0.600 0.646 0.954
K 0.046 0.646 0.400
Pb 0.254 0.872 0.746
Pb 0.618 0.872 0.382
Tl 0.000 0.000 0.000
K 0.954 0.354 0.046
K 0.400 0.354 0.600


No. 8
DFT (GGA-PBE) results for a geometry-optimized KTl2Pb structure.

Computed properties:
- Uncorrected energy: -2.42 eV/atom
- Symmetry: Imm2

Unit cell a=6.663 b=6.663 c=6.663 alpha=143.96 beta=128.23 gamma=64.70
Element x y z (fractional)
K 0.499 0.499 0.000
Pb 0.231 0.731 0.500
Tl 0.003 0.003 0.000
Tl 0.767 0.267 0.500


No. 9
DFT (GGA-PBE) results for a geometry-optimized KTl2Pb structure.

Computed properties:
- Uncorrected energy: -2.28 eV/atom
- Symmetry: I-42d

Unit cell a=5.079 b=5.079 c=11.981 alpha=77.76 beta=77.76 gamma=90.00
Element x y z (fractional)
Pb 0.000 0.000 0.000
Pb 0.750 0.250 0.500
Tl 0.092 0.625 0.250
Tl 0.375 0.342 0.750
K 0.500 0.500 0.000
K 0.250 0.750 0.500
Tl 0.658 0.125 0.250
Tl 0.875 0.908 0.750


No. 10
DFT (GGA-PBE) results for a geometry-optimized KTl2Pb structure.

Computed properties:
- Uncorrected energy: -2.43 eV/atom
- Symmetry: I-4m2

Unit cell a=5.714 b=5.714 c=5.714 alpha=120.99 beta=120.99 gamma=88.30
Element x y z (fractional)
K 0.500 0.500 0.000
Pb 0.750 0.250 0.500
Tl 0.250 0.750 0.500
Tl 0.000 0.000 0.000


No. 11
DFT (GGA-PBE) results for a geometry-optimized K6Tl2Pb structure.

Computed properties:
- Uncorrected energy: -1.73 eV/atom
- Symmetry: P2_1/c

Unit cell a=7.764 b=10.333 c=11.294 alpha=108.45 beta=90.00 gamma=90.00
Element x y z (fractional)
Tl 0.001 0.006 0.770
K 0.248 0.209 0.061
K 0.247 0.790 0.939
Tl 0.501 0.494 0.730
K 0.501 0.123 0.712
Pb 0.000 0.000 0.500
Tl 0.999 0.994 0.230
K 0.748 0.291 0.439
K 0.999 0.623 0.212
Pb 0.500 0.500 0.000
K 0.252 0.709 0.561
K 0.001 0.377 0.788
K 0.747 0.710 0.561
Tl 0.499 0.506 0.270
K 0.752 0.791 0.939
K 0.253 0.290 0.439
K 0.753 0.210 0.061
K 0.499 0.877 0.288


No. 12
DFT (GGA-PBE) results for a geometry-optimized KTl5Pb2 structure.

Computed properties:
- Uncorrected energy: -2.56 eV/atom
- Symmetry: I4/mmm
- Excess energy over the best structure of this formula in the dataset: 0.018 eV/atom

Unit cell a=6.913 b=6.913 c=6.913 alpha=109.17 beta=109.17 gamma=110.08
Element x y z (fractional)
Tl 0.777 0.778 0.500
Pb 0.278 0.778 0.500
Tl 0.278 0.278 0.500
Tl 0.278 0.278 0.000
Tl 0.278 0.777 0.000
Pb 0.778 0.278 0.500
K 0.778 0.778 0.000
Tl 0.778 0.278 0.000


Calculated DOS at the Fermi energy, 1.390, 0.334, 0.645, 0.490, 0.366, 0.539, 0.389, 0.539, 0.853, 0.476, 0.519, 0.496 states/eV/atom (same order as the records).